# 1
A relaxed structure of GdGaRh. Source: the Alexandria database, functional PBE-GGA.

The structure in POSCAR format:
```
GdGaRh
1.0
-1.6546 1.6546 5.2662
1.6546 -1.6546 5.2662
1.6546 1.6546 -5.2662
Gd Ga Rh
1 1 1
Direct
0.0000 0.0000 0.0000
0.7043 0.7043 0.0000
0.3158 0.3158 0.0000
```

Properties
Crystal system: tetragonal
Energy of formation: -663.8 meV/atom

=====

# 2
A relaxed structure of CaErPtPb. Source: the Alexandria database, functional PBE-GGA.

The structure in POSCAR format:
```
CaErPtPb
1.0
0.0000 3.6557 3.6557
3.6557 0.0000 3.6557
3.6557 3.6557 0.0000
Ca Er Pt Pb
1 1 1 1
Direct
0.0000 0.0000 0.0000
0.5000 0.5000 0.5000
0.7500 0.7500 0.7500
0.2500 0.2500 0.2500
```

Properties
Crystal system: cubic
Energy of formation: -683.3 meV/atom
Energy relative to the lowest polymorph listed for this composition: 163 meV per atom

=====

# 3
A relaxed structure of Ca. Source: the Alexandria database, functional PBE-GGA.

The structure in POSCAR format:
```
Ca
1.0
3.7499 0.0000 0.0000
-1.8750 3.2475 0.0000
0.0000 0.0000 3.4810
Ca
1
Direct
0.0000 0.0000 0.0000
```

Properties
Crystal system: hexagonal
Energy of formation: 230.5 meV/atom
Energy relative to the lowest polymorph listed for this composition: 231 meV per atom

=====

# 4
A relaxed structure of LaCrS2Cl. Source: the Alexandria database, functional PBE-GGA.

The structure in POSCAR format:
```
LaCrS2Cl
1.0
4.7562 0.0000 0.0000
0.0000 4.7562 0.0000
0.0000 0.0000 4.6045
La Cr S Cl
1 1 2 1
Direct
0.0000 0.0000 0.0000
0.5000 0.5000 0.5000
0.0000 0.5000 0.5000
0.5000 0.0000 0.5000
0.5000 0.5000 0.0000
```

Properties
Crystal system: tetragonal
Formation energy (no corrections): -119.7 kJ/mol of atoms
Energy relative to the lowest polymorph listed for this composition: 0 meV per atom

=====

# 5
A relaxed structure of Tb6ErIn. Source: the Alexandria database, functional PBE-GGA.

The structure in POSCAR format:
```
Tb6ErIn
1.0
3.3042 -5.6887 0.0000
3.3042 5.6887 0.0000
-0.0004 0.0000 6.5305
Tb Er In
6 1 1
Direct
0.0639 0.4954 0.7520
0.0702 0.0702 0.2481
0.4954 0.0639 0.7520
0.5046 0.9361 0.2480
0.9298 0.9298 0.7519
0.9361 0.5046 0.2480
0.5000 0.5000 0.5000
0.5000 0.5000 0.0000
```

Properties
Crystal system: monoclinic
Energy of formation: 28.8 meV/atom
Energy relative to the lowest polymorph listed for this composition: 147 meV per atom

=====

# 6
A relaxed structure of AcTmIr2. Source: the Alexandria database, functional PBE-GGA.

The structure in POSCAR format:
```
AcTmIr2
1.0
0.0000 3.5576 3.5576
3.5576 0.0000 3.5576
3.5576 3.5576 0.0000
Ac Tm Ir
1 1 2
Direct
0.0000 0.0000 0.0000
0.5000 0.5000 0.5000
0.2500 0.2500 0.2500
0.7500 0.7500 0.7500
```

Properties
Crystal system: cubic
Energy of formation: -540.8 meV/atom
Energy relative to the lowest polymorph listed for this composition: 54 meV per atom

=====

# 7
A relaxed structure of CuAg4Pb. Source: the Alexandria database, functional PBE-GGA.

The structure in POSCAR format:
```
CuAg4Pb
1.0
0.0000 3.9298 3.9298
3.9298 0.0000 3.9298
3.9298 3.9298 0.0000
Cu Ag Pb
1 4 1
Direct
0.0000 0.0000 0.0000
0.3745 0.3745 0.3745
0.3745 0.3745 0.8764
0.3745 0.8764 0.3745
0.8764 0.3745 0.3745
0.7500 0.7500 0.7500
```

Properties
Crystal system: cubic
Energy of formation: 243.3 meV/atom

=====

# 8
A relaxed structure of KNa2Lu. Source: the Alexandria database, functional PBE-GGA.

The structure in POSCAR format:
```
KNa2Lu
1.0
1.7983 1.0383 14.1147
-1.7983 1.0383 14.1147
0.0000 -2.0765 14.1147
K Na Lu
1 2 1
Direct
0.0000 0.0000 0.0000
0.4197 0.4197 0.4197
0.5803 0.5803 0.5803
0.5000 0.5000 0.5000
```

Properties
Crystal system: trigonal
Energy of formation: 354.8 meV/atom

=====

Let's list DOS at the Fermi energy in order: 0.793, 0.695, 1.423, 0.600, 1.184, 0.983, 0.291, 0.846 states/eV/atom.